Entry 1:
VASP calculation (PBE) on crystalline AlAsIr2 at its relaxed geometry.

The value obtained for the total energy is -6.40 eV per atom. Its energy relative to the elements is 129 meV per atom. Its relative energy among the computed polymorphs is 451.3 meV/atom.

a b c (Å): 5.553 5.553 6.734
angles (deg): 65.65 65.65 90.00
Atoms (fractional coordinates):
As 0.000 0.000 0.000
As 0.750 0.250 0.500
Ir 0.634 0.125 0.250
Ir 0.116 0.625 0.250
Ir 0.375 0.366 0.750
Ir 0.875 0.884 0.750
Al 0.500 0.500 0.000
Al 0.250 0.750 0.500

***

Entry 2:
VASP calculation (PBE) on crystalline Hf2VH at its relaxed geometry.

The value obtained for the total energy is -7.92 eV per atom. Its relative energy among the computed polymorphs is 72.8 meV/atom.

a b c (Å): 6.455 6.455 5.480
angles (deg): 53.91 53.91 90.00
Last column: magnetic moment on the atom in μB.
Atoms (fractional coordinates):
H 0.500 0.500 0.000  0.01
H 0.250 0.750 0.500  0.01
Hf 0.538 0.125 0.250  -0.03
Hf 0.212 0.625 0.250  -0.03
Hf 0.375 0.462 0.750  -0.03
Hf 0.875 0.788 0.750  -0.03
V 0.000 0.000 0.000  1.71
V 0.750 0.250 0.500  1.71

***

Entry 3:
VASP calculation (PBE) on crystalline Sr2InAs3Pt4 at its relaxed geometry.

The value obtained for the total energy is -5.16 eV per atom. Its energy relative to the elements is -740 meV per atom.

a b c (Å): 4.481 4.481 10.550
angles (deg): 90.00 90.00 90.00
Atoms (fractional coordinates):
Sr 0.500 0.000 0.240
Sr 0.000 0.500 0.760
In 0.500 0.500 0.500
As 0.000 0.000 0.500
As 0.500 0.000 0.877
As 0.000 0.500 0.123
Pt 0.500 0.500 0.000
Pt 0.000 0.000 0.000
Pt 0.500 0.000 0.641
Pt 0.000 0.500 0.359

***

Entry 4:
VASP calculation (PBE) on crystalline Pu6HgBi2 at its relaxed geometry.

The value obtained for the total energy is -10.45 eV per atom. Its energy relative to the elements is 0 meV per atom.

a b c (Å): 3.450 8.997 8.997
angles (deg): 120.00 90.00 90.00
Last column: magnetic moment on the atom in μB.
Atoms (fractional coordinates):
Pu 0.500 0.331 0.331  5.88
Pu 0.500 0.669 0.669  5.88
Pu 0.500 0.000 0.669  5.88
Pu 0.500 0.669 0.000  5.88
Pu 0.500 0.331 0.000  5.88
Pu 0.500 0.000 0.331  5.88
Hg 0.000 0.000 0.000  -0.01
Bi 0.000 0.333 0.667  -0.14
Bi 0.000 0.667 0.333  -0.14

***

Entry 5:
VASP calculation (PBE) on crystalline La4CePr4 at its relaxed geometry.

The value obtained for the total energy is -4.94 eV per atom. Its energy relative to the elements is 35 meV per atom.

a b c (Å): 5.209 8.258 8.258
angles (deg): 84.29 71.62 71.62
Last column: magnetic moment on the atom in μB.
Atoms (fractional coordinates):
La 0.339 0.321 0.000  0.00
La 0.661 0.679 0.000  0.00
La 0.661 0.000 0.679  0.00
La 0.339 0.000 0.321  0.00
Ce 0.000 0.000 0.000  0.52
Pr 0.000 0.671 0.329  0.00
Pr 0.000 0.329 0.671  0.00
Pr 0.671 0.329 0.329  0.00
Pr 0.329 0.671 0.671  0.00

***

Entry 6:
VASP calculation (PBE) on crystalline Y4CdCu3 at its relaxed geometry.

The value obtained for the total energy is -5.13 eV per atom. Its energy relative to the elements is -244 meV per atom.

a b c (Å): 5.023 5.023 8.719
angles (deg): 73.26 73.26 60.00
Atoms (fractional coordinates):
Y 0.870 0.870 0.390
Y 0.381 0.381 0.858
Y 0.130 0.130 0.610
Y 0.619 0.619 0.142
Cu 0.254 0.254 0.237
Cu 0.746 0.746 0.763
Cu 0.500 0.500 0.500
Cd 0.000 0.000 0.000

***

Entry 7:
VASP calculation (PBE) on crystalline EuSeBr at its relaxed geometry.

The value obtained for the total energy is -6.52 eV per atom. The raw formation energy is -1371 meV per atom.

a b c (Å): 3.810 3.810 6.747
angles (deg): 106.40 106.40 90.00
Last column: magnetic moment on the atom in μB.
Atoms (fractional coordinates):
Eu 0.677 0.677 0.354  6.63
Se 0.293 0.293 0.585  -0.37
Br 0.030 0.030 0.060  -0.14

***

Entry 8:
VASP calculation (PBE) on crystalline NdZn2F8 at its relaxed geometry.

The value obtained for the total energy is -4.68 eV per atom. The raw formation energy is -2651 meV per atom.

a b c (Å): 5.529 5.529 6.691
angles (deg): 114.41 114.41 90.00
Last column: magnetic moment on the atom in μB.
Atoms (fractional coordinates):
Nd 0.500 0.500 0.000  0.00
Zn 0.750 0.250 0.500  0.14
Zn 0.250 0.750 0.500  0.14
F 0.793 0.323 0.259  0.09
F 0.064 0.534 0.741  0.09
F 0.677 0.207 0.741  0.09
F 0.207 0.064 0.741  0.09
F 0.466 0.936 0.259  0.09
F 0.936 0.793 0.259  0.09
F 0.323 0.466 0.259  0.09
F 0.534 0.677 0.741  0.09